# 1
A plane-wave DFT calculation with GGA-PBE was carried out for a geometry-optimized NaSrMg2Tl4 structure.

Unit cell a=9.4063 b=9.4063 c=9.4063 alpha=33.11 beta=33.11 gamma=33.11
With the nearest neighbours (Å) after each atom.
Element x y z (fractional)
Na 0.0000 0.0000 0.0000  8 Tl 3.17-3.26
Sr 0.5000 0.5000 0.5000  8 Tl 3.35-3.43
Mg 0.2495 0.2495 0.2495  8 Tl 3.23-3.48
Mg 0.7505 0.7505 0.7505  8 Tl 3.23-3.48
Tl 0.1188 0.1188 0.1188  1 Na 3.17, 4 Mg 3.23-3.48, 3 Sr 3.35
Tl 0.3714 0.3714 0.3714  4 Mg 3.25-3.33, 3 Na 3.26, 1 Sr 3.43
Tl 0.6286 0.6286 0.6286  4 Mg 3.25-3.33, 3 Na 3.26, 1 Sr 3.43
Tl 0.8812 0.8812 0.8812  1 Na 3.17, 4 Mg 3.23-3.48, 3 Sr 3.35

## Properties
energy of formation	-0.183	eV/atom
calculated total energy	-2.14	eV per atom
total magnetic moment	0.00	μB per cell
space-group type	R-3m



# 2
A plane-wave DFT calculation with GGA-PBE was carried out for a geometry-optimized NaSr2Mg2Tl5 structure.

Unit cell a=11.8062 b=11.8062 c=4.2893 alpha=90.00 beta=90.00 gamma=90.00
With the nearest neighbours (Å) after each atom.
Element x y z (fractional)
Na 0.0000 0.0000 0.0000  8 Tl 3.29
Na 0.5000 0.5000 0.0000  8 Tl 3.29
Sr 0.1761 0.3239 0.0000  3 Mg 3.40-3.56, 6 Tl 3.64-3.74
Sr 0.3239 0.8239 0.0000  3 Mg 3.40-3.56, 6 Tl 3.64-3.74
Sr 0.6761 0.1761 0.0000  3 Mg 3.40-3.56, 6 Tl 3.64-3.74
Sr 0.8239 0.6761 0.0000  3 Mg 3.40-3.56, 6 Tl 3.64-3.74
Mg 0.1201 0.6201 0.0000  6 Tl 2.94-3.08
Mg 0.3799 0.1201 0.0000  6 Tl 2.94-3.08
Mg 0.6201 0.8799 0.0000  6 Tl 2.94-3.08
Mg 0.8799 0.3799 0.0000  6 Tl 2.94-3.08
Tl 0.0000 0.5000 0.5000  4 Mg 2.94
Tl 0.0651 0.7988 0.5000  2 Mg 3.08, 2 Na 3.29
Tl 0.2012 0.0651 0.5000  2 Mg 3.08, 2 Na 3.29
Tl 0.2988 0.5651 0.5000  2 Mg 3.08, 2 Na 3.29
Tl 0.4349 0.2988 0.5000  2 Mg 3.08, 2 Na 3.29
Tl 0.5000 0.0000 0.5000  4 Mg 2.94
Tl 0.5651 0.7012 0.5000  2 Mg 3.08, 2 Na 3.29
Tl 0.7012 0.4349 0.5000  2 Mg 3.08, 2 Na 3.29
Tl 0.7988 0.9349 0.5000  2 Mg 3.08, 2 Na 3.29
Tl 0.9349 0.2012 0.5000  2 Mg 3.08, 2 Na 3.29

## Properties
energy of formation	-0.215	eV/atom
calculated total energy	-2.19	eV per atom
total magnetic moment	0.00	μB per cell
space-group type	P4/mbm



# 3
A plane-wave DFT calculation with GGA-PBE was carried out for a geometry-optimized NaSrMgZn structure.

Unit cell a=7.6323 b=7.6323 c=7.6323 alpha=90.00 beta=90.00 gamma=90.00
With the nearest neighbours (Å) after each atom.
Element x y z (fractional)
Na 0.0000 0.0000 0.0000  4 Mg 3.30, 4 Sr 3.30
Na 0.0000 0.5000 0.5000  4 Sr 3.30, 4 Mg 3.30
Na 0.5000 0.0000 0.5000  4 Sr 3.30, 4 Mg 3.30
Na 0.5000 0.5000 0.0000  4 Sr 3.30, 4 Mg 3.30
Sr 0.2500 0.2500 0.7500  4 Na 3.30, 4 Zn 3.30
Sr 0.2500 0.7500 0.2500  4 Na 3.30, 4 Zn 3.30
Sr 0.7500 0.2500 0.2500  4 Na 3.30, 4 Zn 3.30
Sr 0.7500 0.7500 0.7500  4 Na 3.30, 4 Zn 3.30
Mg 0.2500 0.2500 0.2500  4 Na 3.30, 4 Zn 3.30
Mg 0.2500 0.7500 0.7500  4 Na 3.30, 4 Zn 3.30
Mg 0.7500 0.2500 0.7500  4 Na 3.30, 4 Zn 3.30
Mg 0.7500 0.7500 0.2500  4 Na 3.30, 4 Zn 3.30
Zn 0.0000 0.0000 0.5000  4 Mg 3.30, 4 Sr 3.30
Zn 0.0000 0.5000 0.0000  4 Mg 3.30, 4 Sr 3.30
Zn 0.5000 0.0000 0.0000  4 Mg 3.30, 4 Sr 3.30
Zn 0.5000 0.5000 0.5000  4 Mg 3.30, 4 Sr 3.30

## Properties
energy of formation	0.007	eV/atom
calculated total energy	-1.46	eV per atom
total magnetic moment	0.00	μB per cell
space-group type	F-43m



# 4
A plane-wave DFT calculation with GGA-PBE was carried out for a geometry-optimized NaSrMg2Zn structure.

Unit cell a=5.2282 b=5.2282 c=5.5513 alpha=90.00 beta=90.00 gamma=90.00
With the nearest neighbours (Å) after each atom.
Element x y z (fractional)
Na 0.0000 0.0000 0.0000  2 Zn 2.78
Sr 0.5000 0.5000 0.0000  4 Na 3.70, 8 Mg 3.81
Mg 0.0000 0.5000 0.5000  2 Zn 2.61
Mg 0.5000 0.0000 0.5000  2 Zn 2.61
Zn 0.0000 0.0000 0.5000  4 Mg 2.61, 2 Na 2.78

## Properties
energy of formation	0.075	eV/atom
calculated total energy	-1.42	eV per atom
total magnetic moment	0.00	μB per cell
space-group type	P4/mmm



# 5
A plane-wave DFT calculation with GGA-PBE was carried out for a geometry-optimized NaMgTa structure.

Unit cell a=2.9318 b=5.6451 c=8.2506 alpha=80.43 beta=89.83 gamma=89.96
With the nearest neighbours (Å) after each atom.
Element x y z (fractional)
Na 0.2500 0.2420 0.0004  6 Na 2.93-3.26, 1 Mg 3.28
Na 0.7500 0.7580 0.9996  6 Na 2.93-3.26, 1 Mg 3.28
Mg 0.2509 0.4627 0.3439  4 Mg 2.93-3.05, 5 Ta 3.09-3.24, 1 Na 3.28
Mg 0.7491 0.5373 0.6561  4 Mg 2.93-3.05, 5 Ta 3.09-3.24, 1 Na 3.28
Ta 0.2489 0.0337 0.6305  4 Ta 2.68-2.93
Ta 0.7511 0.9663 0.3695  4 Ta 2.68-2.93

## Properties
energy relative to the lowest polymorph listed for this composition	256	meV/atom
energy of formation	0.467	eV/atom
calculated total energy	-4.45	eV per atom
total magnetic moment	0.00	μB per cell
space-group type	P-1



# 6
A plane-wave DFT calculation with GGA-PBE was carried out for a geometry-optimized NaMgTa structure.

Unit cell a=4.8500 b=4.8500 c=6.3050 alpha=90.00 beta=90.00 gamma=120.00
With the nearest neighbours (Å) after each atom.
Element x y z (fractional)
Na 0.0000 0.0000 0.0000  3 Mg 2.82, 3 Na 3.12, 1 Ta 3.14
Na 0.3333 0.6667 0.2170  1 Mg 2.89, 3 Na 3.12
Mg 0.3333 0.6667 0.6751  1 Na 2.89, 6 Ta 3.01-3.05
Mg 0.6667 0.3333 0.9471  3 Na 2.82, 1 Ta 2.92
Ta 0.0000 0.0000 0.4982  3 Ta 2.80, 3 Mg 3.01
Ta 0.6667 0.3333 0.4842  3 Ta 2.80, 4 Mg 2.92-3.05

## Properties
energy relative to the lowest polymorph listed for this composition	427	meV/atom
energy of formation	0.638	eV/atom
calculated total energy	-4.28	eV per atom
total magnetic moment	0.00	μB per cell
space-group type	P3m1



# 7
A plane-wave DFT calculation with GGA-PBE was carried out for a geometry-optimized NaMgTa structure.

Unit cell a=2.9967 b=2.9968 c=16.0936 alpha=89.82 beta=89.86 gamma=70.45
With the nearest neighbours (Å) after each atom.
Element x y z (fractional)
Na 0.0000 0.0000 0.0000  4 Na 3.00
Na 0.4776 0.4750 0.8023  4 Na 3.00
Mg 0.4932 0.4927 0.1828  4 Mg 3.00, 2 Ta 3.00
Mg 0.9870 0.9839 0.6194  4 Mg 3.00, 2 Ta 3.00
Ta 0.4892 0.4880 0.4671  6 Ta 2.74-3.00, 2 Mg 3.00
Ta 0.9904 0.9900 0.3351  6 Ta 2.74-3.00, 2 Mg 3.00

## Properties
energy relative to the lowest polymorph listed for this composition	0	meV/atom
energy of formation	0.211	eV/atom
calculated total energy	-4.71	eV per atom
total magnetic moment	0.00	μB per cell
space-group type	P1



# 8
A plane-wave DFT calculation with GGA-PBE was carried out for a geometry-optimized NaMgTa structure.

Unit cell a=3.4871 b=3.4871 c=12.3181 alpha=90.00 beta=90.00 gamma=90.00
With the nearest neighbours (Å) after each atom.
Element x y z (fractional)
Na 0.2500 0.2500 0.1141  4 Mg 3.42, 8 Na 3.49-3.74
Na 0.7500 0.7500 0.8859  4 Mg 3.42, 8 Na 3.49-3.74
Mg 0.2500 0.2500 0.6941  5 Ta 2.99-3.05
Mg 0.7500 0.7500 0.3059  5 Ta 2.99-3.05
Ta 0.2500 0.2500 0.4510  4 Ta 2.75, 5 Mg 2.99-3.05
Ta 0.7500 0.7500 0.5490  4 Ta 2.75, 5 Mg 2.99-3.05

## Properties
energy relative to the lowest polymorph listed for this composition	33	meV/atom
energy of formation	0.244	eV/atom
calculated total energy	-4.68	eV per atom
total magnetic moment	0.00	μB per cell
space-group type	P4/nmm



# 9
A plane-wave DFT calculation with GGA-PBE was carried out for a geometry-optimized NaMg2Ta structure.

Unit cell a=7.6372 b=7.6372 c=6.2050 alpha=90.00 beta=90.00 gamma=90.00
With the nearest neighbours (Å) after each atom.
Element x y z (fractional)
Na 0.0000 0.0000 0.0000  4 Mg 2.77, 2 Ta 3.10
Na 0.0000 0.5000 0.2500  4 Mg 2.77, 2 Ta 3.10
Na 0.5000 0.0000 0.7500  4 Mg 2.77, 2 Ta 3.10
Na 0.5000 0.5000 0.5000  4 Mg 2.77, 2 Ta 3.10
Mg 0.2430 0.7500 0.1250  2 Na 2.77, 2 Ta 2.85, 2 Mg 3.10
Mg 0.2500 0.2430 0.8750  2 Na 2.77, 2 Ta 2.85, 2 Mg 3.10
Mg 0.2500 0.2570 0.3750  2 Na 2.77, 2 Ta 2.85, 2 Mg 3.10
Mg 0.2570 0.7500 0.6250  2 Na 2.77, 2 Ta 2.85, 2 Mg 3.10
Mg 0.7430 0.2500 0.6250  2 Na 2.77, 2 Ta 2.85, 2 Mg 3.10
Mg 0.7500 0.7430 0.3750  2 Na 2.77, 2 Ta 2.85, 2 Mg 3.10
Mg 0.7500 0.7570 0.8750  2 Na 2.77, 2 Ta 2.85, 2 Mg 3.10
Mg 0.7570 0.2500 0.1250  2 Na 2.77, 2 Ta 2.85, 2 Mg 3.10
Ta 0.0000 0.0000 0.5000  4 Mg 2.85, 2 Na 3.10
Ta 0.0000 0.5000 0.7500  4 Mg 2.85, 2 Na 3.10
Ta 0.5000 0.0000 0.2500  4 Mg 2.85, 2 Na 3.10
Ta 0.5000 0.5000 0.0000  4 Mg 2.85, 2 Na 3.10

## Properties
energy relative to the lowest polymorph listed for this composition	301	meV/atom
energy of formation	1.045	eV/atom
calculated total energy	-3.05	eV per atom
total magnetic moment	0.00	μB per cell
space-group type	I-42d



# 10
A plane-wave DFT calculation with GGA-PBE was carried out for a geometry-optimized NaMgTa structure.

Unit cell a=2.9559 b=4.8532 c=9.9524 alpha=90.00 beta=98.07 gamma=90.00
With the nearest neighbours (Å) after each atom.
Element x y z (fractional)
Na 0.1962 0.2500 0.3939  2 Na 2.96
Na 0.8038 0.7500 0.6061  2 Na 2.96
Mg 0.4031 0.2500 0.7964  6 Ta 2.94-3.20, 2 Mg 2.96
Mg 0.5969 0.7500 0.2036  6 Ta 2.94-3.20, 2 Mg 2.96
Ta 0.0194 0.2500 0.0555  4 Ta 2.66-2.96, 2 Mg 2.94-2.96
Ta 0.9806 0.7500 0.9445  4 Ta 2.66-2.96, 2 Mg 2.94-2.96

## Properties
energy relative to the lowest polymorph listed for this composition	197	meV/atom
energy of formation	0.408	eV/atom
calculated total energy	-4.51	eV per atom
total magnetic moment	0.00	μB per cell
space-group type	P2_1/m